# 1
6
Lattice="-0.7310 0.4820 -4.8612 -2.0830 -3.7486 2.4510 -4.1489 2.9014 0.9116" Properties=species:S:1:pos:R:3 comment="Si2Se | Alexandria via LeMat-Bulk | PBE | optimized geometry" polymorph_energy_mev_per_atom=762 raw_formation_energy_mev_per_atom=593 total_magnetization_mub_per_cell=0.000 sg="P6_3/mmc, No. 194" volume_a3_per_atom=18.12 n_ef_per_ev_atom=0.4460 pbc="T T T"
Si 0.0000 0.0000 0.0000
Si -2.0744 1.4507 0.4558
Si -4.7440 -0.1623 0.6973
Si -2.2189 -0.2028 -2.1959
Se -2.6695 -1.6130 0.2415
Se -4.2933 1.2479 -1.7401



# 2
5
Lattice="-1.8522 -2.2954 -4.0065 4.4018 0.4262 -2.2791 1.3948 -4.3933 1.8722" Properties=species:S:1:pos:R:3 comment="DySc3S | Alexandria via LeMat-Bulk | PBE | optimized geometry" raw_formation_energy_mev_per_atom=-601 total_magnetization_mub_per_cell=1.463 sg="Pm-3m, No. 221" volume_a3_per_atom=24.63 n_ef_per_ev_atom=1.6304 pbc="T T T"
Sc 2.2009 0.2131 -1.1396
Sc 0.6974 -2.1967 0.9361
Sc -0.9261 -1.1477 -2.0033
S 0.0000 0.0000 0.0000
Dy 1.9722 -3.1313 -2.2067



# 3
4
Lattice="5.2259 0.1038 0.0000 -0.1091 5.2258 0.0000 0.0000 0.0000 3.7626" Properties=species:S:1:pos:R:3 comment="Al2BrCl | Alexandria via LeMat-Bulk | PBE | optimized geometry" polymorph_energy_mev_per_atom=505 raw_formation_energy_mev_per_atom=-136 total_magnetization_mub_per_cell=0.000 sg="Cmmm, No. 65" volume_a3_per_atom=25.70 n_ef_per_ev_atom=0.0154 pbc="T T T"
Al 0.0000 0.0000 0.0000
Al 2.5584 2.6648 0.0000
Br 2.6129 0.0519 1.8813
Cl -0.0546 2.6129 1.8813



Question: Which formula does entry 3 have?
Answer: Al2BrCl